LuSc2Si4Au4: relaxed, PBE.

Unit cell a=4.1279 b=6.9093 c=13.8596 alpha=90.00 beta=90.00 gamma=90.00
Space group Immm (No. 71)
Unique sites:
Lu 0.0000 0.0000 0.0000 [2 per cell]
Sc 0.0000 0.5000 0.1204 [4 per cell]
Si 0.0000 0.0000 0.2189 [4 per cell]
Si 0.0000 0.1736 0.5000 [4 per cell]
Au 0.0000 0.2956 0.3341 [8 per cell]

energy	-117.6	eV/cell



Lu2AuSe4: relaxed, PBE.

Unit cell a=11.4651 b=11.4651 c=11.4651 alpha=90.00 beta=90.00 gamma=90.00
Space group Fd-3m (No. 227, origin choice 2)
Unique sites:
Lu 0.0000 0.0000 0.0000 [16 per cell]
Au 0.1250 0.1250 0.6250 [8 per cell]
Se 0.0063 0.0063 0.2437 [32 per cell]

energy	-278.8	eV/cell



LuSnTe2AuSe: relaxed, PBE.

Unit cell a=4.2247 b=14.6949 c=10.3802 alpha=90.00 beta=90.00 gamma=90.00
Space group Cmcm (No. 63)
Unique sites:
Lu 0.0000 0.0000 0.0000 [4 per cell]
Sn 0.0000 0.2505 0.2500 [4 per cell]
Te 0.0000 0.3500 0.5511 [8 per cell]
Au 0.0000 0.4751 0.7500 [4 per cell]
Se 0.0000 0.0869 0.7500 [4 per cell]

energy	-102.5	eV/cell



SrLuTe2AuSe: relaxed, PBE.

Unit cell a=4.2400 b=14.6791 c=10.7120 alpha=90.00 beta=90.00 gamma=90.00
Space group Cmcm (No. 63)
Unique sites:
Sr 0.0000 0.2446 0.2500 [4 per cell]
Lu 0.0000 0.5000 0.0000 [4 per cell]
Te 0.0000 0.1461 0.5487 [8 per cell]
Au 0.0000 0.0306 0.7500 [4 per cell]
Se 0.0000 0.4188 0.7500 [4 per cell]

energy	-106.3	eV/cell



LuSiAu2: relaxed, PBE.

Unit cell a=6.7240 b=6.7240 c=6.7240 alpha=90.00 beta=90.00 gamma=90.00
Space group F-43m (No. 216)
Unique sites:
Lu 0.0000 0.0000 0.0000 [4 per cell]
Si 0.2500 0.2500 0.7500 [4 per cell]
Au 0.0000 0.0000 0.5000 [4 per cell]
Au 0.2500 0.2500 0.2500 [4 per cell]

energy	-72.2	eV/cell



SmLuTe3Au: relaxed, PBE.

Unit cell a=8.2252 b=4.2131 c=10.0036 alpha=90.00 beta=105.15 gamma=90.00
Space group P2_1/m (No. 11)
Unique sites:
Sm 0.2238 0.2500 0.2961 [2 per cell]
Lu 0.3082 0.7500 0.8120 [2 per cell]
Te 0.0603 0.2500 0.8519 [2 per cell]
Te 0.3534 0.7500 0.5330 [2 per cell]
Te 0.4110 0.7500 0.1344 [2 per cell]
Au 0.1020 0.2500 0.5757 [2 per cell]

energy	-57.1	eV/cell



LuSnTe3Au: relaxed, PBE.

Unit cell a=12.7828 b=4.3308 c=12.6801 alpha=90.00 beta=90.00 gamma=90.00
Space group Pnma (No. 62)
Unique sites:
Lu 0.0409 0.2500 0.1908 [4 per cell]
Sn 0.2037 0.2500 0.4618 [4 per cell]
Te 0.0239 0.7500 0.3625 [4 per cell]
Te 0.0861 0.2500 0.9305 [4 per cell]
Te 0.2270 0.7500 0.6659 [4 per cell]
Au 0.2328 0.7500 0.3029 [4 per cell]

relative energy among the computed polymorphs	64	meV per atom



LuSnTe3Au: relaxed, PBE.

Unit cell a=12.8902 b=4.3280 c=12.6308 alpha=90.00 beta=90.00 gamma=90.00
Space group Pnma (No. 62)
Unique sites:
Lu 0.0388 0.2500 0.1884 [4 per cell]
Sn 0.1952 0.2500 0.4723 [4 per cell]
Te 0.0203 0.7500 0.3606 [4 per cell]
Te 0.0868 0.2500 0.9324 [4 per cell]
Te 0.2308 0.7500 0.6713 [4 per cell]
Au 0.2311 0.7500 0.3138 [4 per cell]

relative energy among the computed polymorphs	64	meV per atom



LuSnTe3Au: relaxed, PBE.

Unit cell a=10.5429 b=4.3200 c=16.3853 alpha=90.00 beta=90.00 gamma=90.00
Space group Pnma (No. 62)
Unique sites:
Lu 0.1857 0.2500 0.0245 [4 per cell]
Sn 0.1619 0.7500 0.2764 [4 per cell]
Te 0.0216 0.7500 0.1103 [4 per cell]
Te 0.1374 0.2500 0.4698 [4 per cell]
Te 0.1785 0.7500 0.6978 [4 per cell]
Au 0.1528 0.7500 0.8766 [4 per cell]

relative energy among the computed polymorphs	35	meV per atom



LuSnTe3Au: relaxed, PBE.

Unit cell a=4.2387 b=14.7259 c=11.0132 alpha=90.00 beta=90.00 gamma=90.00
Space group Cmcm (No. 63)
Unique sites:
Lu 0.0000 0.0000 0.0000 [4 per cell]
Sn 0.0000 0.2210 0.2500 [4 per cell]
Te 0.0000 0.0954 0.7500 [4 per cell]
Te 0.0000 0.3534 0.5498 [8 per cell]
Au 0.0000 0.4691 0.7500 [4 per cell]

relative energy among the computed polymorphs	11	meV per atom



LuSnTe3Au: relaxed, PBE.

Unit cell a=14.4150 b=4.2578 c=11.4158 alpha=90.00 beta=90.00 gamma=90.00
Space group Pnma (No. 62)
Unique sites:
Lu 0.0099 0.2500 0.1830 [4 per cell]
Sn 0.2252 0.2500 0.4452 [4 per cell]
Te 0.1063 0.2500 0.9428 [4 per cell]
Te 0.1267 0.7500 0.6207 [4 per cell]
Te 0.1535 0.7500 0.2448 [4 per cell]
Au 0.0096 0.7500 0.4069 [4 per cell]

relative energy among the computed polymorphs	3	meV per atom



LuSnTe3Au: relaxed, PBE.

Unit cell a=8.2238 b=4.2731 c=10.5977 alpha=90.00 beta=107.28 gamma=90.00
Space group P2_1/m (No. 11)
Unique sites:
Lu 0.2083 0.2500 0.1804 [2 per cell]
Sn 0.2111 0.7500 0.7080 [2 per cell]
Te 0.0750 0.2500 0.8754 [2 per cell]
Te 0.2028 0.2500 0.4677 [2 per cell]
Te 0.4582 0.7500 0.1611 [2 per cell]
Au 0.3945 0.7500 0.4012 [2 per cell]

relative energy among the computed polymorphs	0	meV per atom



LuSnTe3Au: relaxed, PBE.

Unit cell a=19.5599 b=4.2244 c=8.7671 alpha=90.00 beta=100.53 gamma=90.00
Space group C2/m (No. 12)
Unique sites:
Lu 0.1604 0.0000 0.0934 [4 per cell]
Sn 0.1248 0.0000 0.5774 [4 per cell]
Te 0.0000 0.0000 0.0000 [2 per cell]
Te 0.0000 0.5000 0.5000 [2 per cell]
Te 0.1780 0.5000 0.8552 [4 per cell]
Te 0.1906 0.5000 0.3494 [4 per cell]
Au 0.0531 0.5000 0.2132 [4 per cell]

relative energy among the computed polymorphs	31	meV per atom



SrLu2Au: relaxed, PBE.

Unit cell a=7.6097 b=7.6097 c=7.6097 alpha=90.00 beta=90.00 gamma=90.00
Space group F-43m (No. 216)
Unique sites:
Sr 0.0000 0.0000 0.0000 [4 per cell]
Lu 0.0000 0.0000 0.5000 [4 per cell]
Lu 0.2500 0.2500 0.7500 [4 per cell]
Au 0.2500 0.2500 0.2500 [4 per cell]

energy	-55.8	eV/cell



LuTaAu: relaxed, PBE.

Unit cell a=6.5498 b=6.5498 c=6.5498 alpha=90.00 beta=90.00 gamma=90.00
Space group F-43m (No. 216)
Unique sites:
Lu 0.0000 0.0000 0.0000 [4 per cell]
Ta 0.0000 0.0000 0.5000 [4 per cell]
Au 0.2500 0.2500 0.2500 [4 per cell]

energy relative to the elements	293	meV per atom
relative energy among the computed polymorphs	0	meV per atom



Lu2TaAu: relaxed, PBE.

Unit cell a=6.9635 b=6.9635 c=6.9635 alpha=90.00 beta=90.00 gamma=90.00
Space group F-43m (No. 216)
Unique sites:
Lu 0.0000 0.0000 0.0000 [4 per cell]
Lu 0.2500 0.2500 0.2500 [4 per cell]
Ta 0.0000 0.0000 0.5000 [4 per cell]
Au 0.2500 0.2500 0.7500 [4 per cell]

energy relative to the elements	179	meV per atom



Lu2TcAu: relaxed, PBE.

Unit cell a=6.8048 b=6.8048 c=6.8048 alpha=90.00 beta=90.00 gamma=90.00
Space group F-43m (No. 216)
Unique sites:
Lu 0.0000 0.0000 0.0000 [4 per cell]
Lu 0.2500 0.2500 0.2500 [4 per cell]
Tc 0.0000 0.0000 0.5000 [4 per cell]
Au 0.2500 0.2500 0.7500 [4 per cell]

energy relative to the elements	-2	meV per atom



Lu2Te3Au: relaxed, PBE.

Unit cell a=10.6893 b=4.0403 c=14.6665 alpha=90.00 beta=90.00 gamma=90.00
Space group Pnma (No. 62)
Unique sites:
Lu 0.0139 0.2500 0.2478 [4 per cell]
Lu 0.2338 0.7500 0.5332 [4 per cell]
Te 0.0336 0.2500 0.5988 [4 per cell]
Te 0.0636 0.7500 0.0949 [4 per cell]
Te 0.2366 0.7500 0.8673 [4 per cell]
Au 0.2411 0.2500 0.7232 [4 per cell]

energy	-108.9	eV/cell



LuTlTe3Au: relaxed, PBE.

Unit cell a=8.7980 b=4.1518 c=10.9010 alpha=90.00 beta=110.54 gamma=90.00
Space group P2_1/m (No. 11)
Unique sites:
Lu 0.1996 0.2500 0.1612 [2 per cell]
Tl 0.2338 0.7500 0.7110 [2 per cell]
Te 0.0604 0.2500 0.8639 [2 per cell]
Te 0.2390 0.2500 0.4498 [2 per cell]
Te 0.4398 0.7500 0.1458 [2 per cell]
Au 0.4143 0.7500 0.3894 [2 per cell]

relative energy among the computed polymorphs	11	meV per atom



LuTlTe3Au: relaxed, PBE.

Unit cell a=4.1487 b=15.7453 c=11.1524 alpha=90.00 beta=90.00 gamma=90.00
Space group Cmcm (No. 63)
Unique sites:
Lu 0.0000 0.0000 0.0000 [4 per cell]
Tl 0.0000 0.2362 0.2500 [4 per cell]
Te 0.0000 0.0822 0.7500 [4 per cell]
Te 0.0000 0.3634 0.5471 [8 per cell]
Au 0.0000 0.4646 0.7500 [4 per cell]

relative energy among the computed polymorphs	0	meV per atom